# meta-GGA SCAN Nb2CrAg, single point on PBEsol structure
# **Total magnetization**: 0.00 μB per cell
data_Nb2CrAg
_chemical_formula_sum 'Nb8 Cr4 Ag4'
_space_group_name_H-M_alt 'F m -3 m'
_space_group_IT_number 225
_space_group_name_Hall '-F 4 2 3'
_cell_length_a 6.346
_cell_length_b 6.346
_cell_length_c 6.346
_cell_angle_alpha 90.00
_cell_angle_beta 90.00
_cell_angle_gamma 90.00
loop_
_atom_site_label
_atom_site_type_symbol
_atom_site_fract_x
_atom_site_fract_y
_atom_site_fract_z
Nb1 Nb 0.250 0.250 0.250
Cr1 Cr 0.000 0.000 0.000
Ag1 Ag 0.000 0.000 0.500

=====

# meta-GGA SCAN Nb3CrAg, single point on PBEsol structure
# **Total magnetization**: 2.60 μB per cell
data_Nb3CrAg
_chemical_formula_sum 'Nb3 Cr1 Ag1'
_space_group_name_H-M_alt 'P m -3 m'
_space_group_IT_number 221
_space_group_name_Hall '-P 4 2 3'
_cell_length_a 4.853
_cell_length_b 4.853
_cell_length_c 4.853
_cell_angle_alpha 90.00
_cell_angle_beta 90.00
_cell_angle_gamma 90.00
loop_
_atom_site_label
_atom_site_type_symbol
_atom_site_fract_x
_atom_site_fract_y
_atom_site_fract_z
Nb1 Nb 0.000 0.000 0.500
Cr1 Cr 0.500 0.500 0.500
Ag1 Ag 0.000 0.000 0.000

=====

Let's list energy relative to the elements in order: 370; 1892 meV/atom.